1.
A plane-wave DFT calculation with PBE was carried out for a relaxed Mg2TaTc crystal.

abc: 3.289 3.289 6.939
angles: 90.00 90.00 90.00
Sites, in units of the cell vectors:
Mg  0.000  0.000  0.000
Mg  0.500  0.500  0.284
Ta  0.000  0.000  0.570
Tc  0.500  0.500  0.744

Properties
distance to the lowest polymorph of the same formula: 0 meV per atom
E: -25.398 eV for the cell shown
energy relative to the elements: 0.002 eV per atom

***

2.
A plane-wave DFT calculation with PBE was carried out for a relaxed Zr4Sn2Ru crystal.

abc: 4.856 4.856 15.331
angles: 90.00 90.00 90.00
Sites, in units of the cell vectors:
Zr  0.000  0.000  0.171
Zr  0.000  0.000  0.829
Zr  0.000  0.500  0.000
Zr  0.000  0.500  0.500
Zr  0.500  0.000  0.000
Zr  0.500  0.000  0.500
Zr  0.500  0.500  0.329
Zr  0.500  0.500  0.671
Sn  0.000  0.000  0.362
Sn  0.000  0.000  0.638
Sn  0.500  0.500  0.138
Sn  0.500  0.500  0.862
Ru  0.000  0.000  0.000
Ru  0.500  0.500  0.500

Properties
E: -102.692 eV for the cell shown
energy relative to the elements: 0.018 eV per atom

***

3.
A plane-wave DFT calculation with PBE was carried out for a relaxed SrZn2SiAu4 crystal.

abc: 9.835 9.835 9.835
angles: 26.16 26.16 26.16
Sites, in units of the cell vectors:
Sr  0.000  0.000  0.000
Zn  0.249  0.249  0.249
Zn  0.751  0.751  0.751
Si  0.500  0.500  0.500
Au  0.139  0.139  0.139
Au  0.407  0.407  0.407
Au  0.593  0.593  0.593
Au  0.861  0.861  0.861

Properties
energy relative to the elements, uncorrected: -204 kJ/mol of formula units
E: -24.878 eV for the cell shown

***

4.
A plane-wave DFT calculation with PBE was carried out for a relaxed Pa2TiTl crystal.

abc: 4.305 4.305 4.933
angles: 90.00 90.00 90.00
Sites, in units of the cell vectors:
Pa  0.000  0.500  0.000
Pa  0.500  0.000  0.000
Ti  0.000  0.000  0.500
Tl  0.500  0.500  0.500

Properties
E: -28.806 eV for the cell shown
energy relative to the elements: 0.112 eV per atom

***

5.
A plane-wave DFT calculation with PBE was carried out for a relaxed LaPm3Ho6Er2 crystal.

abc: 6.190 6.190 11.818
angles: 94.99 94.99 119.97
Sites, in units of the cell vectors:
La  0.000  0.000  0.000
Pm  0.167  0.833  0.500
Pm  0.500  0.500  0.500
Pm  0.833  0.167  0.500
Ho  0.083  0.418  0.249
Ho  0.251  0.251  0.751
Ho  0.418  0.083  0.249
Ho  0.582  0.917  0.751
Ho  0.749  0.749  0.249
Ho  0.917  0.582  0.751
Er  0.333  0.667  0.000
Er  0.667  0.333  0.000

Properties
E: -55.533 eV for the cell shown
energy relative to the elements: 0.020 eV per atom

***

6.
A plane-wave DFT calculation with PBE was carried out for a relaxed SrNdNi2 crystal.

abc: 3.574 3.574 7.145
angles: 90.00 90.00 90.00
Sites, in units of the cell vectors:
Sr  0.000  0.000  0.000
Nd  0.000  0.000  0.500
Ni  0.500  0.500  0.298
Ni  0.500  0.500  0.702

Properties
E: -18.386 eV for the cell shown
energy relative to the elements: -0.094 eV per atom

***

| no. | total magnetic moment (μB/f.u.) |
| --- | --- |
| 1 | 0.0 |
| 2 | 0.0 |
| 3 | 0.0 |
| 4 | 0.0 |
| 5 | 0.0 |
| 6 | 0.0 |